LaSm8Tm6 after structural relaxation, computed with PBE. Values from VASP.

Computed properties:
* magnetic moment: 0.00 μB per formula unit
* calculated volume: 509 Å³/f.u.
* offset from the most stable computed form: 80 meV/atom
* formation energy: 0.216 eV per atom
* VASP energy: -4.4182 eV per atom

Cell and atoms, written as Quantum ESPRESSO input:
```
&SYSTEM
  ibrav = 0, nat = 15, ntyp = 3
/
ATOMIC_SPECIES
La 138.91 La.upf
Sm 150.36 Sm.upf
Tm 168.93 Tm.upf
CELL_PARAMETERS angstrom
9.443 0.000 0.000
-4.722 8.178 0.000
0.000 0.000 6.586
ATOMIC_POSITIONS crystal
La 0.000 0.000 0.000
Sm 0.020 0.332 0.395
Sm 0.312 0.980 0.395
Sm 0.332 0.312 0.605
Sm 0.333 0.667 0.677
Sm 0.667 0.333 0.323
Sm 0.668 0.688 0.395
Sm 0.688 0.020 0.605
Sm 0.980 0.668 0.605
Tm 0.088 0.677 0.101
Tm 0.323 0.412 0.101
Tm 0.412 0.088 0.899
Tm 0.588 0.912 0.101
Tm 0.677 0.588 0.899
Tm 0.912 0.323 0.899
```

La4Sm15Tm after structural relaxation, computed with PBE. Values from VASP.

Computed properties:
* magnetic moment: 0.00 μB per formula unit
* calculated volume: 687 Å³/f.u.
* formation energy: 0.021 eV per atom
* VASP energy: -4.7274 eV per atom

Cell and atoms, written as Quantum ESPRESSO input:
```
&SYSTEM
  ibrav = 0, nat = 20, ntyp = 3
/
ATOMIC_SPECIES
La 138.91 La.upf
Sm 150.36 Sm.upf
Tm 168.93 Tm.upf
CELL_PARAMETERS angstrom
5.162 0.000 0.000
0.000 5.162 0.000
0.000 0.000 25.767
ATOMIC_POSITIONS crystal
La 0.000 0.000 0.101
La 0.000 0.000 0.301
La 0.000 0.000 0.699
La 0.000 0.000 0.899
Sm 0.000 0.500 0.000
Sm 0.000 0.500 0.201
Sm 0.000 0.500 0.403
Sm 0.000 0.500 0.597
Sm 0.000 0.500 0.799
Sm 0.500 0.000 0.000
Sm 0.500 0.000 0.201
Sm 0.500 0.000 0.403
Sm 0.500 0.000 0.597
Sm 0.500 0.000 0.799
Sm 0.500 0.500 0.101
Sm 0.500 0.500 0.302
Sm 0.500 0.500 0.500
Sm 0.500 0.500 0.698
Sm 0.500 0.500 0.899
Tm 0.000 0.000 0.500
```

La4Sm5Tm2 after structural relaxation, computed with PBE. Values from VASP.

Computed properties:
* magnetic moment: 0.00 μB per formula unit
* calculated volume: 378 Å³/f.u.
* offset from the most stable computed form: 0 meV/atom
* formation energy: 0.082 eV per atom
* VASP energy: -4.6675 eV per atom

Cell and atoms, written as Quantum ESPRESSO input:
```
&SYSTEM
  ibrav = 0, nat = 11, ntyp = 3
/
ATOMIC_SPECIES
La 138.91 La.upf
Sm 150.36 Sm.upf
Tm 168.93 Tm.upf
CELL_PARAMETERS angstrom
8.954 -1.790 0.000
8.954 1.790 0.000
-0.838 0.000 11.805
ATOMIC_POSITIONS crystal
La 0.040 0.040 0.263
La 0.358 0.358 0.206
La 0.642 0.642 0.794
La 0.960 0.960 0.737
Sm 0.097 0.097 0.538
Sm 0.179 0.179 0.074
Sm 0.500 0.500 0.000
Sm 0.821 0.821 0.926
Sm 0.903 0.903 0.462
Tm 0.284 0.284 0.638
Tm 0.716 0.716 0.362
```

La4Sm3Tm4 after structural relaxation, computed with PBE. Values from VASP.

Computed properties:
* magnetic moment: 0.00 μB per formula unit
* calculated volume: 369 Å³/f.u.
* offset from the most stable computed form: 0 meV/atom
* formation energy: 0.028 eV per atom
* VASP energy: -4.6770 eV per atom

Cell and atoms, written as Quantum ESPRESSO input:
```
&SYSTEM
  ibrav = 0, nat = 11, ntyp = 3
/
ATOMIC_SPECIES
La 138.91 La.upf
Sm 150.36 Sm.upf
Tm 168.93 Tm.upf
CELL_PARAMETERS angstrom
3.642 0.000 0.000
-0.002 5.092 0.000
-1.814 -2.542 19.890
ATOMIC_POSITIONS crystal
La 0.046 0.046 0.092
La 0.317 0.317 0.634
La 0.683 0.683 0.366
La 0.954 0.954 0.908
Sm 0.136 0.136 0.273
Sm 0.500 0.500 0.000
Sm 0.864 0.864 0.727
Tm 0.228 0.228 0.457
Tm 0.407 0.408 0.815
Tm 0.593 0.592 0.185
Tm 0.772 0.772 0.543
```

La5Sm2Tm5 after structural relaxation, computed with PBE. Values from VASP.

Computed properties:
* magnetic moment: 0.00 μB per formula unit
* calculated volume: 402 Å³/f.u.
* formation energy: 0.030 eV per atom
* VASP energy: -4.6729 eV per atom

Cell and atoms, written as Quantum ESPRESSO input:
```
&SYSTEM
  ibrav = 0, nat = 12, ntyp = 3
/
ATOMIC_SPECIES
La 138.91 La.upf
Sm 150.36 Sm.upf
Tm 168.93 Tm.upf
CELL_PARAMETERS angstrom
7.718 -2.546 0.000
7.718 2.546 0.000
-5.174 0.000 10.231
ATOMIC_POSITIONS crystal
La 0.000 0.000 0.000
La 0.081 0.081 0.750
La 0.248 0.248 0.250
La 0.752 0.752 0.750
La 0.919 0.919 0.250
Sm 0.166 0.166 0.499
Sm 0.834 0.834 0.501
Tm 0.333 0.333 0.000
Tm 0.416 0.416 0.748
Tm 0.500 0.500 0.500
Tm 0.584 0.584 0.252
Tm 0.667 0.667 0.000
```

LaSm8Tm2 after structural relaxation, computed with PBE. Values from VASP.

Computed properties:
* magnetic moment: 0.00 μB per formula unit
* calculated volume: 384 Å³/f.u.
* offset from the most stable computed form: 19 meV/atom
* formation energy: 0.133 eV per atom
* VASP energy: -4.5600 eV per atom

Cell and atoms, written as Quantum ESPRESSO input:
```
&SYSTEM
  ibrav = 0, nat = 11, ntyp = 3
/
ATOMIC_SPECIES
La 138.91 La.upf
Sm 150.36 Sm.upf
Tm 168.93 Tm.upf
CELL_PARAMETERS angstrom
9.733 -3.523 0.000
9.733 3.523 0.000
-0.311 0.000 5.605
ATOMIC_POSITIONS crystal
La 0.000 0.000 0.000
Sm 0.134 0.596 0.268
Sm 0.189 0.189 0.233
Sm 0.404 0.866 0.732
Sm 0.455 0.455 0.761
Sm 0.545 0.545 0.239
Sm 0.596 0.134 0.268
Sm 0.811 0.811 0.767
Sm 0.866 0.404 0.732
Tm 0.285 0.285 0.748
Tm 0.715 0.715 0.252
```